Crystalline Hg2AsAuI at its relaxed geometry. Source: Alexandria via LeMat-Bulk, functional PBE.

Output
Uncorrected formation energy (eV per atom): 0.070
Magnetization (Bohr magnetons per cell): 0.000

Cell lengths 5.490, 5.490, 4.916 Å; angles 90.00, 90.00, 90.00 degrees
Space group P4/mmm (No. 123)
Unique sites:
1 Hg 0.000 0.500 0.000
2 As 0.000 0.000 0.000
3 Au 0.000 0.000 0.500
4 I 0.500 0.500 0.500

---

Crystalline LiAgF4 at its relaxed geometry. Source: Alexandria via LeMat-Bulk, functional PBE.

Output
Uncorrected formation energy (eV per atom): -1.687
E above lowest polymorph (meV/atom): 10
Magnetization (Bohr magnetons per cell): 0.000

Cell lengths 4.835, 11.371, 5.643 Å; angles 90.00, 90.00, 90.00 degrees
Space group Pbcn (No. 60)
Unique sites:
1 Li 0.000 0.065 0.250
2 Ag 0.000 0.333 0.250
3 F 0.223 0.202 0.121
4 F 0.249 0.050 0.600

---

Crystalline TlHg3 at its relaxed geometry. Source: Alexandria via LeMat-Bulk, functional PBE.

Output
Calculated formation energy (eV/atom): -0.027
Magnetization (Bohr magnetons per cell): 0.000

Cell lengths 5.052, 5.052, 4.465 Å; angles 90.00, 90.00, 90.00 degrees
Space group P4/mmm (No. 123)
Unique sites:
1 Tl 0.000 0.000 0.000
2 Hg 0.000 0.500 0.500
3 Hg 0.500 0.500 0.000

---

What did the second record say?
Crystalline LiAgF4 at its relaxed geometry. Source: Alexandria via LeMat-Bulk, functional PBE.

Output
Uncorrected formation energy (eV per atom): -1.687
E above lowest polymorph (meV/atom): 10
Magnetization (Bohr magnetons per cell): 0.000

Cell lengths 4.835, 11.371, 5.643 Å; angles 90.00, 90.00, 90.00 degrees
Space group Pbcn (No. 60)
Unique sites:
1 Li 0.000 0.065 0.250
2 Ag 0.000 0.333 0.250
3 F 0.223 0.202 0.121
4 F 0.249 0.050 0.600

---

> Number 3 is which compound?

TlHg3